1.
Below is crystalline LaPPdO2 at its relaxed geometry, with properties calculated at the PBE level.

Calculated values
Formation energy without anion corrections   -0.52 eV per atom
Crystal system   tetragonal
Distance to the lowest polymorph of the same formula   2.10 eV/f.u.

POSCAR file:
```
LaPPdO2
1.0
-1.5583 3.3345 1.8539
-3.8152 -1.3674 -0.7474
0.0174 -3.3510 6.0420
P O Pd La
1 2 1 1
Cartesian
0.0087 -1.6755 3.0210
-1.9076 -0.6837 -0.3737
-0.7792 1.6673 0.9269
-2.6781 -0.6920 3.5742
0.0000 0.0000 0.0000
```

***

2.
Below is crystalline Sr2NiCBr at its relaxed geometry, with properties calculated at the PBE level.

Calculated values
Formation energy without anion corrections   -0.57 eV per atom
Crystal system   tetragonal

POSCAR file:
```
Sr2NiCBr
1.0
5.5436 0.0000 0.0000
0.0000 5.5436 0.0000
0.0000 0.0000 3.6917
Sr C Br Ni
2 1 1 1
Cartesian
0.0000 2.7718 0.0000
2.7718 0.0000 0.0000
0.0000 0.0000 0.0000
2.7718 2.7718 1.8458
0.0000 0.0000 1.8458
```

***

3.
Below is crystalline Na2Pa2FeS6 at its relaxed geometry, with properties calculated at the PBE level.

Calculated values
Formation energy without anion corrections   -1.26 eV per atom
Crystal system   monoclinic

POSCAR file:
```
Na2Pa2FeS6
1.0
6.6411 -0.0502 0.0824
-3.3261 5.7484 0.0824
-1.1542 -1.9839 6.8037
Na Pa Fe S
2 2 1 6
Cartesian
4.9957 0.9071 0.0824
-1.6806 4.7912 0.0824
-0.5212 2.7889 3.4843
2.6821 0.9254 3.4843
-0.5771 -0.9919 3.4018
1.6987 2.9199 5.0091
-1.7211 0.8718 4.9183
0.4622 0.7944 1.9594
1.6085 -1.0653 4.9183
3.8820 2.8425 2.0502
0.5523 4.7796 2.0502
```

***

4.
Below is crystalline Mn2Cu3 at its relaxed geometry, with properties calculated at the PBE level.

Calculated values
Energy of formation   0.648 eV/atom
Crystal system   trigonal
Distance to the lowest polymorph of the same formula   2.18 eV/f.u.

POSCAR file:
```
Mn2Cu3
1.0
2.2937 2.8102 1.6346
-3.9258 0.5678 -0.3098
-0.6384 -2.0252 4.3774
Mn Cu
2 3
Cartesian
0.1537 1.8507 1.4448
-2.4242 -0.4979 4.2575
0.0000 0.0000 0.0000
-0.1701 0.8235 3.6652
-2.1004 0.5294 2.0371
```

***

5.
Below is crystalline BaPr3 at its relaxed geometry, with properties calculated at the PBE level.

Calculated values
Energy of formation   0.240 eV/atom
Crystal system   cubic
Distance to the lowest polymorph of the same formula   0.34 eV/f.u.

POSCAR file:
```
BaPr3
1.0
-0.1808 -6.0976 0.4215
1.5873 -3.4447 -4.7965
5.2021 -3.2113 0.1300
Pr Ba
3 1
Cartesian
0.0000 0.0000 0.0000
4.9564 -9.5652 -3.1837
1.6521 -3.1884 -1.0612
3.3043 -6.3768 -2.1225
```

***

6.
Below is crystalline PmHoMgRh at its relaxed geometry, with properties calculated at the PBE level.

Calculated values
Energy of formation   -0.369 eV/atom
Crystal system   cubic

POSCAR file:
```
PmHoMgRh
1.0
5.1083 0.0000 0.0000
2.5542 4.4239 0.0000
2.5542 1.4746 4.1709
Mg Rh Ho Pm
1 1 1 1
Cartesian
5.1083 2.9493 2.0855
0.0000 0.0000 0.0000
2.5542 1.4746 1.0427
7.6625 4.4239 3.1282
```

***

Which formula does entry 5 have?
BaPr3

***

Copy entry 6 word for word.
Below is crystalline PmHoMgRh at its relaxed geometry, with properties calculated at the PBE level.

Calculated values
Energy of formation   -0.369 eV/atom
Crystal system   cubic

POSCAR file:
```
PmHoMgRh
1.0
5.1083 0.0000 0.0000
2.5542 4.4239 0.0000
2.5542 1.4746 4.1709
Mg Rh Ho Pm
1 1 1 1
Cartesian
5.1083 2.9493 2.0855
0.0000 0.0000 0.0000
2.5542 1.4746 1.0427
7.6625 4.4239 3.1282
```